[1]
A plane-wave DFT calculation with PBE was carried out for an optimized crystal structure of GaAsIr.

Properties
Space-group type: F-43m, No. 216
Offset from the most stable computed form in meV/atom: 44
Electronic total energy in eV per atom: -5.7733
ΔH_f (0 K) in eV per formula unit: -0.78

Structure (POSCAR):
```
GaAsIr
1.0
0.000 2.995 2.995
2.995 0.000 2.995
2.995 2.995 0.000
Ga As Ir
1 1 1
direct
0.000 0.000 0.000
0.500 0.500 0.500
0.750 0.750 0.750
```

[2]
A plane-wave DFT calculation with PBE was carried out for an optimized crystal structure of LaPm2Al2Ga2.

Properties
Space-group type: R-3m, No. 166
Electronic total energy in eV per atom: -4.4246
ΔH_f (0 K) in eV per formula unit: -3.00

Structure (POSCAR):
```
LaPm2Al2Ga2
1.0
2.166 1.250 11.322
-2.166 1.250 11.322
0.000 -2.501 11.322
La Pm Al Ga
1 2 2 2
direct
0.000 0.000 0.000
0.126 0.126 0.126
0.874 0.874 0.874
0.396 0.396 0.396
0.604 0.604 0.604
0.262 0.262 0.262
0.738 0.738 0.738
```

Summary of total moment in μB per cell
0.0, 0.4
(order as listed above)